(1)
Entry from Alexandria: crystalline CaV4O10 at its relaxed geometry (GGA-PBEsol).

density	3.59	g/cm³
spin magnetization	0.92	μB per formula unit
ΔE_f (raw)	-238	kJ per mole of atoms
V	187	Å³/cell
distance to the lowest polymorph of the same formula	0	meV/atom
crystal system	orthorhombic

Cell and atoms, written as CIF:
```
data_CaV4O10
_chemical_formula_sum 'Ca1 V4 O10'
_space_group_name_H-M_alt 'P m m 2'
_space_group_IT_number 25
_cell_length_a 3.6071
_cell_length_b 11.3122
_cell_length_c 4.5834
_cell_angle_alpha 90.00
_cell_angle_beta 90.00
_cell_angle_gamma 90.00
loop_
_space_group_symop_operation_xyz
'x,y,z'
'-x,-y,z'
'-x,y,z'
'x,-y,z'
loop_
_atom_site_label
_atom_site_type_symbol
_atom_site_fract_x
_atom_site_fract_y
_atom_site_fract_z
_atom_site_occupancy
Ca1 Ca 0.0000 0.0000 0.0000 1
V1 V 0.0000 0.3481 0.2276 1
V2 V 0.5000 0.1544 0.4628 1
O1 O 0.0000 0.1695 0.3469 1
O2 O 0.0000 0.3413 0.8801 1
O3 O 0.0000 0.5000 0.3110 1
O4 O 0.5000 0.0000 0.3315 1
O5 O 0.5000 0.1272 0.8178 1
O6 O 0.5000 0.3154 0.3463 1
```

***

(2)
Entry from Alexandria: crystalline CaV4O8 at its relaxed geometry (GGA-PBEsol).

density	4.01	g/cm³
spin magnetization	2.74	μB per formula unit
ΔE_f (raw)	-238	kJ per mole of atoms
V	462	Å³/cell
distance to the lowest polymorph of the same formula	0	meV/atom
crystal system	trigonal

Cell and atoms, written as CIF:
```
data_CaV4O8
_chemical_formula_sum 'Ca3 V12 O24'
_space_group_name_H-M_alt 'R -3 m'
_space_group_IT_number 166
_space_group_name_Hall '-R 3 2"'
_cell_length_a 5.6066
_cell_length_b 5.6066
_cell_length_c 16.9873
_cell_angle_alpha 90.00
_cell_angle_beta 90.00
_cell_angle_gamma 120.00
loop_
_atom_site_label
_atom_site_type_symbol
_atom_site_fract_x
_atom_site_fract_y
_atom_site_fract_z
_atom_site_occupancy
Ca1 Ca 0.0000 0.0000 0.0000 1
V1 V 0.0000 0.0000 0.5000 1
V2 V 0.0000 0.5000 0.5000 1
O1 O 0.0000 0.0000 0.2283 1
O2 O 0.0015 0.5008 0.7678 1
```

***

(3)
Entry from Alexandria: crystalline Ca2V3O8 at its relaxed geometry (GGA-PBEsol).

density	3.88	g/cm³
spin magnetization	3.01	μB per formula unit
ΔE_f (raw)	-248	kJ per mole of atoms
V	309	Å³/cell
distance to the lowest polymorph of the same formula	95	meV/atom
crystal system	hexagonal

Cell and atoms, written as CIF:
```
data_Ca2V3O8
_chemical_formula_sum 'Ca4 V6 O16'
_space_group_name_H-M_alt 'P 63'
_space_group_IT_number 173
_cell_length_a 5.7971
_cell_length_b 5.7971
_cell_length_c 10.6183
_cell_angle_alpha 90.00
_cell_angle_beta 90.00
_cell_angle_gamma 120.00
loop_
_space_group_symop_operation_xyz
'x,y,z'
'x-y,x,z+1/2'
'-y,x-y,z'
'-x,-y,z+1/2'
'-x+y,-x,z'
'y,-x+y,z+1/2'
loop_
_atom_site_label
_atom_site_type_symbol
_atom_site_fract_x
_atom_site_fract_y
_atom_site_fract_z
_atom_site_occupancy
Ca1 Ca 0.3333 0.6667 0.0000 1
Ca2 Ca 0.3333 0.6667 0.4305 1
V1 V 0.1531 0.3116 0.7317 1
O1 O 0.0000 0.0000 0.3422 1
O2 O 0.0364 0.5180 0.8289 1
O3 O 0.1557 0.3113 0.1335 1
O4 O 0.3333 0.6667 0.6382 1
```

***

(4)
Entry from Alexandria: crystalline Ca3W2O9 at its relaxed geometry (GGA-PBEsol).

density	3.88	g/cm³
spin magnetization	0.00	μB per formula unit
ΔE_f (raw)	-251	kJ per mole of atoms
V	541	Å³/cell
distance to the lowest polymorph of the same formula	5	meV/atom
crystal system	monoclinic

Cell and atoms, written as CIF:
```
data_Ca3W2O9
_chemical_formula_sum 'Ca6 W4 O18'
_space_group_name_H-M_alt 'P 1 21/m 1'
_space_group_IT_number 11
_cell_length_a 8.5260
_cell_length_b 7.6518
_cell_length_c 9.3244
_cell_angle_alpha 90.00
_cell_angle_beta 117.17
_cell_angle_gamma 90.00
loop_
_space_group_symop_operation_xyz
'x,y,z'
'-x,-y,-z'
'-x,y+1/2,-z'
'x,-y+1/2,z'
loop_
_atom_site_label
_atom_site_type_symbol
_atom_site_fract_x
_atom_site_fract_y
_atom_site_fract_z
_atom_site_occupancy
Ca1 Ca 0.0000 0.0000 0.0000 1
Ca2 Ca 0.1404 0.2500 0.7723 1
Ca3 Ca 0.3669 0.2500 0.2309 1
W1 W 0.1428 0.7500 0.7127 1
W2 W 0.4293 0.7500 0.2849 1
O1 O 0.0302 0.7500 0.4991 1
O2 O 0.0855 0.5568 0.7895 1
O3 O 0.1275 0.2500 0.0009 1
O4 O 0.2945 0.5567 0.2123 1
O5 O 0.3734 0.7500 0.7748 1
O6 O 0.4094 0.2500 0.7860 1
O7 O 0.4609 0.2500 0.5014 1
```

***

(5)
Entry from Alexandria: crystalline CaWO4 at its relaxed geometry (GGA-PBEsol).

density	6.21	g/cm³
spin magnetization	0.00	μB per formula unit
ΔE_f (raw)	-253	kJ per mole of atoms
V	308	Å³/cell
crystal system	tetragonal

Cell and atoms, written as CIF:
```
data_CaWO4
_chemical_formula_sum 'Ca4 W4 O16'
_space_group_name_H-M_alt 'I 41/a'
_space_group_IT_number 88
_cell_length_a 5.2316
_cell_length_b 5.2316
_cell_length_c 11.2463
_cell_angle_alpha 90.00
_cell_angle_beta 90.00
_cell_angle_gamma 90.00
loop_
_space_group_symop_operation_xyz
'x,y,z'
'-x,-y,-z'
'-y+3/4,x+1/4,z+1/4'
'y+3/4,-x+1/4,-z+1/4'
'-x+1/2,-y,z+1/2'
'x+1/2,y,-z+1/2'
'y+3/4,-x+3/4,z+3/4'
'-y+3/4,x+3/4,-z+3/4'
'x+1/2,y+1/2,z+1/2'
'-x+1/2,-y+1/2,-z+1/2'
'-y+1/4,x+3/4,z+3/4'
'y+1/4,-x+3/4,-z+3/4'
'-x,-y+1/2,z'
'x,y+1/2,-z'
'y+1/4,-x+1/4,z+1/4'
'-y+1/4,x+1/4,-z+1/4'
loop_
_atom_site_label
_atom_site_type_symbol
_atom_site_fract_x
_atom_site_fract_y
_atom_site_fract_z
_atom_site_occupancy
Ca1 Ca 0.0000 0.2500 0.1250 1
W1 W 0.0000 0.2500 0.6250 1
O1 O 0.1571 0.0084 0.7127 1
```

***

(6)
Entry from Alexandria: crystalline Ca3WO6 at its relaxed geometry (GGA-PBEsol).

density	4.83	g/cm³
spin magnetization	0.00	μB per formula unit
ΔE_f (raw)	-276	kJ per mole of atoms
V	826	Å³/cell
crystal system	trigonal

Cell and atoms, written as CIF:
```
data_Ca3WO6
_chemical_formula_sum 'Ca18 W6 O36'
_space_group_name_H-M_alt 'R -3'
_space_group_IT_number 148
_space_group_name_Hall '-R 3'
_cell_length_a 9.3325
_cell_length_b 9.3325
_cell_length_c 10.9457
_cell_angle_alpha 90.00
_cell_angle_beta 90.00
_cell_angle_gamma 120.00
loop_
_atom_site_label
_atom_site_type_symbol
_atom_site_fract_x
_atom_site_fract_y
_atom_site_fract_z
_atom_site_occupancy
Ca1 Ca 0.0417 0.2695 0.2053 1
W1 W 0.0000 0.0000 0.0000 1
W2 W 0.0000 0.0000 0.5000 1
O1 O 0.0265 0.1785 0.8955 1
O2 O 0.0277 0.1864 0.4035 1
```

***

(7)
Entry from Alexandria: crystalline Ca2W3O8 at its relaxed geometry (GGA-PBEsol).

density	7.30	g/cm³
spin magnetization	0.00	μB per formula unit
ΔE_f (raw)	-221	kJ per mole of atoms
V	346	Å³/cell
crystal system	hexagonal

Cell and atoms, written as CIF:
```
data_Ca2W3O8
_chemical_formula_sum 'Ca4 W6 O16'
_space_group_name_H-M_alt 'P 63 m c'
_space_group_IT_number 186
_space_group_name_Hall 'P 6c -2c'
_cell_length_a 5.8644
_cell_length_b 5.8644
_cell_length_c 11.6034
_cell_angle_alpha 90.00
_cell_angle_beta 90.00
_cell_angle_gamma 120.00
loop_
_atom_site_label
_atom_site_type_symbol
_atom_site_fract_x
_atom_site_fract_y
_atom_site_fract_z
_atom_site_occupancy
Ca1 Ca 0.3333 0.6667 0.0000 1
Ca2 Ca 0.3333 0.6667 0.4057 1
W1 W 0.1832 0.3664 0.6922 1
O1 O 0.0000 0.0000 0.1046 1
O2 O 0.0396 0.5198 0.5775 1
O3 O 0.1622 0.3245 0.2768 1
O4 O 0.3333 0.6667 0.8164 1
```

***

(8)
Entry from Alexandria: crystalline Ca3W2O9 at its relaxed geometry (GGA-PBEsol).

density	4.11	g/cm³
spin magnetization	0.00	μB per formula unit
ΔE_f (raw)	-251	kJ per mole of atoms
V	1021	Å³/cell
distance to the lowest polymorph of the same formula	0	meV/atom
crystal system	orthorhombic

Cell and atoms, written as CIF:
```
data_Ca3W2O9
_chemical_formula_sum 'Ca12 W8 O36'
_space_group_name_H-M_alt 'P n m a'
_space_group_IT_number 62
_cell_length_a 8.5557
_cell_length_b 7.7037
_cell_length_c 15.4863
_cell_angle_alpha 90.00
_cell_angle_beta 90.00
_cell_angle_gamma 90.00
loop_
_space_group_symop_operation_xyz
'x,y,z'
'-x,-y,-z'
'-x+1/2,-y,z+1/2'
'x+1/2,y,-z+1/2'
'x+1/2,-y+1/2,-z+1/2'
'-x+1/2,y+1/2,z+1/2'
'-x,y+1/2,-z'
'x,-y+1/2,z'
loop_
_atom_site_label
_atom_site_type_symbol
_atom_site_fract_x
_atom_site_fract_y
_atom_site_fract_z
_atom_site_occupancy
Ca1 Ca 0.0000 0.0000 0.0000 1
Ca2 Ca 0.1866 0.2500 0.4252 1
Ca3 Ca 0.2125 0.7500 0.1412 1
W1 W 0.1455 0.7500 0.3970 1
W2 W 0.2409 0.2500 0.1684 1
O1 O 0.0546 0.2500 0.5665 1
O2 O 0.0698 0.7500 0.6209 1
O3 O 0.1126 0.7500 0.0153 1
O4 O 0.1398 0.7500 0.2826 1
O5 O 0.1423 0.0546 0.1335 1
O6 O 0.2386 0.7500 0.7824 1
O7 O 0.2466 0.5587 0.4322 1
```

***

(9)
Entry from Alexandria: crystalline Ca3WO6 at its relaxed geometry (GGA-PBEsol).

density	5.21	g/cm³
spin magnetization	0.00	μB per formula unit
ΔE_f (raw)	-275	kJ per mole of atoms
V	255	Å³/cell
crystal system	monoclinic

Cell and atoms, written as CIF:
```
data_Ca3WO6
_chemical_formula_sum 'Ca6 W2 O12'
_space_group_name_H-M_alt 'P 1 21/c 1'
_space_group_IT_number 14
_cell_length_a 5.5102
_cell_length_b 5.8056
_cell_length_c 9.6678
_cell_angle_alpha 90.00
_cell_angle_beta 124.45
_cell_angle_gamma 90.00
loop_
_space_group_symop_operation_xyz
'x,y,z'
'-x,-y,-z'
'-x,y+1/2,-z+1/2'
'x,-y+1/2,z+1/2'
loop_
_atom_site_label
_atom_site_type_symbol
_atom_site_fract_x
_atom_site_fract_y
_atom_site_fract_z
_atom_site_occupancy
Ca1 Ca 0.0000 0.0000 0.0000 1
Ca2 Ca 0.2251 0.0588 0.7424 1
W1 W 0.5000 0.0000 0.5000 1
O1 O 0.1640 0.1762 0.4493 1
O2 O 0.2581 0.7244 0.4261 1
O3 O 0.3921 0.0562 0.2745 1
```

***

Question: Which of these has the highest spin magnetization?
Answer: Ca2V3O8

***

Question: What is the spin magnetization in the first record?
Answer: 0.92 μB per formula unit

***

Question: What is the density in the fifth record?
Answer: 6.21 g/cm³